Entry 1:
DFT (GGA-PBEsol) results for an optimized crystal structure of Ga3SiHg.

* space group: Pm-3m
* raw total energy: -14.64 eV for the cell shown
* calculated volume: 110 Å³/cell
* raw formation energy: 0.34 eV per atom

Lattice parameters (Å, degrees): 4.788 4.788 4.788 90.00 90.00 90.00
Sites, in units of the cell vectors:
Ga (0.000, 0.000, 0.500)
Ga (0.500, 0.000, 0.000)
Si (0.000, 0.000, 0.000)
Hg (0.500, 0.500, 0.500)
Ga (0.000, 0.500, 0.000)

***

Entry 2:
DFT (GGA-PBEsol) results for an optimized crystal structure of Ga2Sn2Hg.

* space group: P4/mbm
* ΔH_f (0 K): 0.0612 eV/atom
* energy above the most stable polymorph in this dataset: 0.00 eV per formula unit
* raw total energy: -30.92 eV for the cell shown
* calculated volume: 230 Å³/cell

Lattice parameters (Å, degrees): 3.305 8.340 8.340 90.00 90.00 90.00
Sites, in units of the cell vectors:
Hg (0.000, 0.500, 0.500)
Sn (0.000, 0.840, 0.660)
Hg (0.000, 0.000, 0.000)
Ga (0.500, 0.137, 0.637)
Sn (0.000, 0.160, 0.340)
Ga (0.500, 0.637, 0.863)
Sn (0.000, 0.340, 0.840)
Ga (0.500, 0.363, 0.137)
Ga (0.500, 0.863, 0.363)
Sn (0.000, 0.660, 0.160)

***

Entry 3:
DFT (GGA-PBEsol) results for an optimized crystal structure of GaSn2Hg.

* space group: Fm-3m
* ΔH_f (0 K): 0.0523 eV/atom
* raw total energy: -12.22 eV for the cell shown
* calculated volume: 94 Å³/cell

Lattice parameters (Å, degrees): 5.105 5.105 5.105 60.00 60.00 60.00
Sites, in units of the cell vectors:
Sn (0.750, 0.750, 0.750)
Ga (0.000, 0.000, 0.000)
Sn (0.250, 0.250, 0.250)
Hg (0.500, 0.500, 0.500)

***

Entry 4:
DFT (GGA-PBEsol) results for an optimized crystal structure of Ga2Sn2Hg.

* space group: I4/mmm
* ΔH_f (0 K): 0.1066 eV/atom
* energy above the most stable polymorph in this dataset: 0.23 eV per formula unit
* raw total energy: -15.23 eV for the cell shown
* calculated volume: 125 Å³/cell

Lattice parameters (Å, degrees): 4.690 4.690 6.596 110.82 110.82 90.00
Sites, in units of the cell vectors:
Ga (0.750, 0.250, 0.500)
Ga (0.250, 0.750, 0.500)
Hg (0.000, 0.000, 0.000)
Sn (0.622, 0.622, 0.244)
Sn (0.378, 0.378, 0.756)

***

Entry 5:
DFT (GGA-PBEsol) results for an optimized crystal structure of Sr2GaHg.

* space group: Fm-3m
* ΔH_f (0 K): -0.4713 eV/atom
* raw total energy: -9.47 eV for the cell shown
* calculated volume: 116 Å³/cell

Lattice parameters (Å, degrees): 5.481 5.481 5.481 60.00 60.00 60.00
Sites, in units of the cell vectors:
Sr (0.750, 0.750, 0.750)
Ga (0.000, 0.000, 0.000)
Hg (0.500, 0.500, 0.500)
Sr (0.250, 0.250, 0.250)

***

Entry 6:
DFT (GGA-PBEsol) results for an optimized crystal structure of TaGa2HgW.

* space group: P4/mmm
* ΔH_f (0 K): 1.3140 eV/atom
* raw total energy: -27.03 eV for the cell shown
* calculated volume: 119 Å³/cell

Lattice parameters (Å, degrees): 4.790 4.992 4.992 90.00 90.00 90.00
Last column: magnetic moment on the atom in μB.
Sites, in units of the cell vectors:
Ta (0.000, 0.000, 0.000)  -0.06
W (0.500, 0.000, 0.000)  0.80
Hg (0.500, 0.500, 0.500)  -0.01
Ga (0.000, 0.500, 0.000)  -0.01
Ga (0.000, 0.000, 0.500)  -0.01

***

Repeat the second record exactly.
DFT (GGA-PBEsol) results for an optimized crystal structure of Ga2Sn2Hg.

* space group: P4/mbm
* ΔH_f (0 K): 0.0612 eV/atom
* energy above the most stable polymorph in this dataset: 0.00 eV per formula unit
* raw total energy: -30.92 eV for the cell shown
* calculated volume: 230 Å³/cell

Lattice parameters (Å, degrees): 3.305 8.340 8.340 90.00 90.00 90.00
Sites, in units of the cell vectors:
Hg (0.000, 0.500, 0.500)
Sn (0.000, 0.840, 0.660)
Hg (0.000, 0.000, 0.000)
Ga (0.500, 0.137, 0.637)
Sn (0.000, 0.160, 0.340)
Ga (0.500, 0.637, 0.863)
Sn (0.000, 0.340, 0.840)
Ga (0.500, 0.363, 0.137)
Ga (0.500, 0.863, 0.363)
Sn (0.000, 0.660, 0.160)

***

> Which formula does entry 5 have?

Sr2GaHg

***

> Among the records above, which one has the highest calculated volume?

number 2